Record 1
First-principles (PBE) data for an optimized crystal structure of InPS, as listed in Alexandria.

Cell and atoms, written as POSCAR:
```
InPS
1.0
4.146 0.000 0.000
-1.926 3.775 0.000
-1.257 -1.409 4.857
In P S
1 1 1
direct
0.000 0.000 0.000 In
0.591 0.283 0.813 P
0.575 0.136 0.405 S
```

Summary:
electronic total energy	-4.228	eV/atom

Record 2
First-principles (PBE) data for an optimized crystal structure of Li4Ac3Ag2, as listed in Alexandria.

Cell and atoms, written as POSCAR:
```
Li4Ac3Ag2
1.0
5.833 -2.484 0.000
5.833 2.484 0.000
-3.851 0.000 8.673
Li Ac Ag
4 3 2
direct
0.023 0.023 0.360 Li
0.285 0.285 0.947 Li
0.715 0.715 0.053 Li
0.977 0.977 0.640 Li
0.000 0.000 0.000 Ac
0.318 0.318 0.354 Ac
0.682 0.682 0.646 Ac
0.414 0.414 0.736 Ag
0.586 0.586 0.264 Ag
```

Summary:
electronic total energy	-2.913	eV/atom

Record 3
First-principles (PBE) data for an optimized crystal structure of BaMoPb2, as listed in Alexandria.

Cell and atoms, written as POSCAR:
```
BaMoPb2
1.0
3.383 -4.963 0.000
3.383 4.963 0.000
0.000 0.000 3.545
Ba Mo Pb
1 1 2
direct
0.000 0.000 0.000 Ba
0.500 0.500 0.000 Mo
0.000 0.500 0.500 Pb
0.500 0.000 0.500 Pb
```

Summary:
E above lowest polymorph	394	meV per atom

Record 4
First-principles (PBE) data for an optimized crystal structure of PmPuSiAu, as listed in Alexandria.

Cell and atoms, written as POSCAR:
```
PmPuSiAu
1.0
0.000 3.631 3.631
3.631 0.000 3.631
3.631 3.631 0.000
Pm Pu Si Au
1 1 1 1
direct
0.000 0.000 0.000 Pm
0.500 0.500 0.500 Pu
0.750 0.750 0.750 Si
0.250 0.250 0.250 Au
```

Summary:
electronic total energy	-7.409	eV/atom

Record 5
First-principles (PBE) data for an optimized crystal structure of PmPr6Nd12, as listed in Alexandria.

Cell and atoms, written as POSCAR:
```
PmPr6Nd12
1.0
6.864 3.963 4.254
-6.864 3.963 4.254
0.000 -7.925 4.254
Pm Pr Nd
1 6 12
direct
0.000 0.000 0.000 Pm
0.094 0.094 0.660 Pr
0.094 0.660 0.094 Pr
0.340 0.906 0.906 Pr
0.660 0.094 0.094 Pr
0.906 0.340 0.906 Pr
0.906 0.906 0.340 Pr
0.084 0.354 0.354 Nd
0.242 0.500 0.758 Nd
0.242 0.758 0.500 Nd
0.354 0.084 0.354 Nd
0.354 0.354 0.084 Nd
0.500 0.242 0.758 Nd
0.500 0.758 0.242 Nd
0.646 0.646 0.916 Nd
0.646 0.916 0.646 Nd
0.758 0.242 0.500 Nd
0.758 0.500 0.242 Nd
0.916 0.646 0.646 Nd
```

Summary:
E above lowest polymorph	0	meV per atom

Record 6
First-principles (PBE) data for an optimized crystal structure of Pm6HRu2Br3, as listed in Alexandria.

Cell and atoms, written as POSCAR:
```
Pm6HRu2Br3
1.0
3.443 -5.965 0.000
3.443 5.965 0.000
-2.309 0.000 7.828
Pm H Ru Br
6 1 2 3
direct
0.102 0.435 0.805 Pm
0.232 0.232 0.195 Pm
0.435 0.102 0.805 Pm
0.565 0.898 0.195 Pm
0.768 0.768 0.805 Pm
0.898 0.565 0.195 Pm
0.500 0.500 0.000 H
0.167 0.833 0.000 Ru
0.833 0.167 0.000 Ru
0.000 0.000 0.500 Br
0.330 0.670 0.500 Br
0.670 0.330 0.500 Br
```

Summary:
electronic total energy	-5.437	eV/atom

Record 7
First-principles (PBE) data for an optimized crystal structure of K2NaAgF, as listed in Alexandria.

Cell and atoms, written as POSCAR:
```
K2NaAgF
1.0
5.496 0.000 0.000
0.000 5.496 0.000
0.000 0.000 4.780
K Na Ag F
2 1 1 1
direct
0.000 0.500 0.000 K
0.500 0.000 0.000 K
0.000 0.000 0.500 Na
0.500 0.500 0.500 Ag
0.000 0.000 0.000 F
```

Summary:
electronic total energy	-2.646	eV/atom

Record 8
First-principles (PBE) data for an optimized crystal structure of TbCoGe2Rh, as listed in Alexandria.

Cell and atoms, written as POSCAR:
```
TbCoGe2Rh
1.0
-2.025 2.025 5.161
2.025 -2.025 5.161
2.025 2.025 -5.161
Tb Co Ge Rh
1 1 2 1
direct
0.000 0.000 0.000 Tb
0.750 0.250 0.500 Co
0.376 0.376 0.000 Ge
0.624 0.624 0.000 Ge
0.250 0.750 0.500 Rh
```

Summary:
electronic total energy	-6.400	eV/atom

Record 9
First-principles (PBE) data for an optimized crystal structure of TlCu3Sn, as listed in Alexandria.

Cell and atoms, written as POSCAR:
```
TlCu3Sn
1.0
4.935 0.000 0.000
0.000 4.935 0.000
0.000 0.000 4.935
Tl Cu Sn
1 3 1
direct
0.000 0.000 0.000 Tl
0.000 0.500 0.500 Cu
0.500 0.000 0.500 Cu
0.500 0.500 0.000 Cu
0.500 0.500 0.500 Sn
```

Summary:
E above lowest polymorph	0	meV per atom

Record 10
First-principles (PBE) data for an optimized crystal structure of Rb2BaTaTe4, as listed in Alexandria.

Cell and atoms, written as POSCAR:
```
Rb2BaTaTe4
1.0
-4.496 4.496 4.812
4.496 -4.496 4.812
4.496 4.496 -4.812
Rb Ba Ta Te
2 1 1 4
direct
0.000 0.000 0.000 Rb
0.750 0.250 0.500 Rb
0.250 0.750 0.500 Ba
0.500 0.500 0.000 Ta
0.183 0.170 0.641 Te
0.458 0.817 0.987 Te
0.529 0.542 0.359 Te
0.830 0.471 0.013 Te
```

Summary:
electronic total energy	-4.294	eV/atom

Record 11
First-principles (PBE) data for an optimized crystal structure of ZrSiRu2, as listed in Alexandria.

Cell and atoms, written as POSCAR:
```
ZrSiRu2
1.0
2.870 -4.213 0.000
2.870 4.213 0.000
-1.356 0.000 2.582
Zr Si Ru
1 1 2
direct
0.000 0.000 0.000 Zr
0.500 0.500 0.000 Si
0.000 0.500 0.500 Ru
0.500 0.000 0.500 Ru
```

Summary:
electronic total energy	-8.391	eV/atom

Record 12
First-principles (PBE) data for an optimized crystal structure of LaBe2TcAu, as listed in Alexandria.

Cell and atoms, written as POSCAR:
```
LaBe2TcAu
1.0
4.496 0.000 0.000
0.000 4.496 0.000
0.000 0.000 5.104
La Be Tc Au
1 2 1 1
direct
0.000 0.000 0.000 La
0.000 0.500 0.500 Be
0.500 0.000 0.500 Be
0.000 0.000 0.500 Tc
0.500 0.500 0.000 Au
```

Summary:
E above lowest polymorph	0	meV per atom

V? In order: 76, 251, 119, 96, 694, 322, 144, 85, 120, 389, 62, 103 Å³/cell.